First-principles (GGA-PBE) data for a geometry-optimized Tl3FeRh2S6 structure, as listed in Alexandria via LeMat-Bulk.

Unit cell a=6.198 b=6.198 c=7.663 alpha=97.75 beta=97.75 gamma=119.98
Last column: magnetic moment on the atom in μB.
Sites, in units of the cell vectors:
Rh (0.333, 0.667, 0.000)  0.02
Rh (0.667, 0.333, 0.000)  0.02
S (0.375, 0.053, 0.158)  0.02
S (0.730, 0.730, 0.159)  0.01
S (0.053, 0.375, 0.158)  0.02
S (0.270, 0.270, 0.841)  0.01
S (0.947, 0.625, 0.842)  0.02
S (0.625, 0.947, 0.842)  0.02
Tl (0.831, 0.169, 0.500)  0.00
Tl (0.500, 0.500, 0.500)  0.00
Tl (0.169, 0.831, 0.500)  0.00
Fe (0.000, 0.000, 0.000)  1.44

- symmetry = C2/m (12)
- formation energy from raw total energies (eV per formula unit) = -4.07
- calculated density (g/cm³) = 7.22
- DOS at the Fermi energy (states/eV/atom) = 0.699